No. 1
Li2NiPt: optimized geometry, PBE-GGA.

energy above the lowest structure with this stoichiometry: 0.109 eV/atom
N(E_F): 0.73 states/eV/atom

Lattice parameters (Å, degrees): 2.6476 3.8966 5.0718 90.00 90.00 90.00
Space group Pmmm (No. 47)
Inequivalent atoms, fractional coordinates:
Li1 0.0000 0.0000 0.2486 (multiplicity 2)
Ni1 0.5000 0.5000 0.5000 (multiplicity 1)
Pt1 0.5000 0.5000 0.0000 (multiplicity 1)

No. 2
LiNiPt2: optimized geometry, PBE-GGA.

N(E_F): 1.39 states/eV/atom

Lattice parameters (Å, degrees): 2.7487 4.3511 4.6544 90.00 90.00 90.00
Space group Pmmm (No. 47)
Inequivalent atoms, fractional coordinates:
Li1 0.0000 0.0000 0.0000 (multiplicity 1)
Ni1 0.5000 0.0000 0.5000 (multiplicity 1)
Pt1 0.0000 0.5000 0.5000 (multiplicity 1)
Pt2 0.5000 0.5000 0.0000 (multiplicity 1)

No. 3
Li2NiPt: optimized geometry, PBE-GGA.

energy above the lowest structure with this stoichiometry: 0.165 eV/atom
N(E_F): 1.03 states/eV/atom

Lattice parameters (Å, degrees): 2.6422 2.6422 7.5846 90.00 90.00 90.00
Space group P4/mmm (No. 123)
Inequivalent atoms, fractional coordinates:
Li1 0.0000 0.0000 0.2479 (multiplicity 2)
Ni1 0.5000 0.5000 0.0000 (multiplicity 1)
Pt1 0.5000 0.5000 0.5000 (multiplicity 1)

No. 4
LiNiPt2: optimized geometry, PBE-GGA.

N(E_F): 0.89 states/eV/atom

Lattice parameters (Å, degrees): 5.4016 8.6283 2.6750 90.00 117.21 90.00
Space group C2/m (No. 12)
Inequivalent atoms, fractional coordinates:
Li1 0.0000 0.0000 0.0000 (multiplicity 2)
Ni1 0.0000 0.5000 0.0000 (multiplicity 2)
Pt1 0.2500 0.2500 0.5000 (multiplicity 4)

| no. | calculated formation energy (meV per atom) | DFT total energy (eV/atom) | volume (A^3/atom) |
| --- | --- | --- | --- |
| 1 | -251 | -4.1634 | 13.08 |
| 2 | -251 | -5.1956 | 13.92 |
| 3 | -194 | -4.1069 | 13.24 |
| 4 | -271 | -5.2148 | 13.86 |